Here is a relaxed structure of Rb3MnCu from Alexandria via LeMat-Bulk. Energies are from PBE.

Geometry as POSCAR:
```
Rb3MnCu
1.0
-0.109 6.438 -1.288
-6.565 -0.090 0.109
0.089 1.290 6.438
Mn Cu Rb
1 1 3
Direct
0.500 0.500 0.500 Mn
0.000 0.000 0.000 Cu
0.000 0.500 0.000 Rb
0.000 0.000 0.500 Rb
0.500 0.000 0.000 Rb
```

Results
- Space-group type: Pm-3m (221)
- ΔE_f: 0.803 eV/atom
- Excess energy over the best structure of this formula in the dataset: 0.00 kcal/mol of atoms